The following is a PBE calculation of ZnMoW2 after structural relaxation, from Alexandria via LeMat-Bulk.

Output
ρ in g/cm³: 12.80
E in eV for the cell shown: -135.9
Calculated formation energy in meV/atom: 1011

a b c (Å): 7.150 7.150 5.370
angles (deg): 90.00 90.00 90.00
Positions (direct):
Zn1 0.000 0.000 0.000
Zn2 0.000 0.500 0.250
Zn3 0.500 0.000 0.750
Zn4 0.500 0.500 0.500
Mo1 0.000 0.000 0.500
Mo2 0.000 0.500 0.750
Mo3 0.500 0.000 0.250
Mo4 0.500 0.500 0.000
W1 0.236 0.250 0.625
W2 0.250 0.736 0.875
W3 0.250 0.764 0.375
W4 0.264 0.250 0.125
W5 0.736 0.750 0.125
W6 0.750 0.236 0.375
W7 0.750 0.264 0.875
W8 0.764 0.750 0.625